Entry 1:
First-principles (PBE-GGA) data for a relaxed structure of OsPdS2Cl, as listed in the Alexandria database.

Cell: 4.7093 4.7093 4.6781 Å, 90.00 90.00 90.00°
Closest atoms and distances in Å follow each position.
Space group P4/mmm (No. 123)
Symmetry-distinct sites (fractional):
Os  0.0000  0.0000  0.0000 (multiplicity 1)  8 S 3.32, 4 Cl 3.33
Pd  0.5000  0.5000  0.5000 (multiplicity 1)  2 Cl 2.34, 4 S 2.35
S  0.0000  0.5000  0.5000 (multiplicity 2)  2 Pd 2.35
Cl  0.5000  0.5000  0.0000 (multiplicity 1)  2 Pd 2.34

The energy above the most stable polymorph in this dataset comes out at 0.709 eV per atom. Its raw formation energy is 126 kJ/mol of atoms. As for the density of states at the Fermi level: 4.6 states/eV per cell.

---

Entry 2:
First-principles (PBE-GGA) data for a relaxed structure of OsPdSCl2, as listed in the Alexandria database.

Cell: 4.7449 4.7449 4.8363 Å, 90.00 90.00 90.00°
Closest atoms and distances in Å follow each position.
Space group P4/mmm (No. 123)
Symmetry-distinct sites (fractional):
Os  0.0000  0.0000  0.0000 (multiplicity 1)  4 S 3.36, 8 Cl 3.39
Pd  0.5000  0.5000  0.5000 (multiplicity 1)  4 Cl 2.37, 2 S 2.42
S  0.5000  0.5000  0.0000 (multiplicity 1)  2 Pd 2.42
Cl  0.0000  0.5000  0.5000 (multiplicity 2)  2 Pd 2.37

The energy above the most stable polymorph in this dataset comes out at 0.633 eV per atom. Its raw formation energy is 113 kJ/mol of atoms. As for the density of states at the Fermi level: 4.6 states/eV per cell.

---

Entry 3:
First-principles (PBE-GGA) data for a relaxed structure of ZnOs2PdCl, as listed in the Alexandria database.

Cell: 4.3503 4.3503 4.5276 Å, 90.00 90.00 90.00°
Closest atoms and distances in Å follow each position.
Space group P4/mmm (No. 123)
Symmetry-distinct sites (fractional):
Zn  0.0000  0.0000  0.0000 (multiplicity 1)  4 Pd 3.08, 8 Os 3.14
Os  0.0000  0.5000  0.5000 (multiplicity 2)  2 Cl 2.18
Pd  0.5000  0.5000  0.0000 (multiplicity 1)  2 Cl 2.26
Cl  0.5000  0.5000  0.5000 (multiplicity 1)  4 Os 2.18, 2 Pd 2.26

Its raw formation energy is 148 kJ/mol of atoms. As for the density of states at the Fermi level: 6.0 states/eV per cell.

---

Entry 4:
First-principles (PBE-GGA) data for a relaxed structure of Pm3OsCl2, as listed in the Alexandria database.

Cell: 4.0558 5.7475 14.1444 Å, 90.00 90.00 90.00°
Closest atoms and distances in Å follow each position.
Space group Immm (No. 71)
Symmetry-distinct sites (fractional):
Pm  0.0000  0.0000  0.0000 (multiplicity 2)  2 Os 2.87
Pm  0.0000  0.0000  0.3676 (multiplicity 4)  2 Os 2.76, 2 Cl 2.96
Os  0.0000  0.5000  0.0000 (multiplicity 2)  6 Pm 2.76-2.87
Cl  0.0000  0.5000  0.3177 (multiplicity 4)  4 Pm 2.96-3.28

Its raw formation energy is -97 kJ/mol of atoms. As for the density of states at the Fermi level: 11.1 states/eV per cell.

---

Entry 5:
First-principles (PBE-GGA) data for a relaxed structure of Pm2OsCl, as listed in the Alexandria database.

Cell: 4.0761 4.0761 22.5542 Å, 90.00 90.00 120.00°
Closest atoms and distances in Å follow each position.
Space group R-3m (No. 166, hexagonal axes)
Symmetry-distinct sites (fractional):
Pm  0.0000  0.0000  0.2353 (multiplicity 6)  3 Os 2.82
Os  0.0000  0.0000  0.5000 (multiplicity 3)  6 Pm 2.82
Cl  0.0000  0.0000  0.0000 (multiplicity 3)  6 Pm 3.23

The energy above the most stable polymorph in this dataset comes out at 0.062 eV per atom. Its raw formation energy is -69 kJ/mol of atoms. As for the density of states at the Fermi level: 8.7 states/eV per cell.

---

Entry 6:
First-principles (PBE-GGA) data for a relaxed structure of Pm3OsCl, as listed in the Alexandria database.

Cell: 3.8429 9.5654 8.0464 Å, 90.00 90.00 90.00°
Closest atoms and distances in Å follow each position.
Space group Pmmn (No. 59, origin choice 2)
Symmetry-distinct sites (fractional):
Pm  0.2500  0.0736  0.1593 (multiplicity 4)  3 Os 2.97-3.27
Pm  0.2500  0.2500  0.7240 (multiplicity 2)  2 Os 2.76, 2 Cl 3.04
Os  0.2500  0.7500  0.0295 (multiplicity 2)  6 Pm 2.76-2.97
Cl  0.2500  0.7500  0.5689 (multiplicity 2)  6 Pm 3.04-3.37

Its raw formation energy is -56 kJ/mol of atoms. As for the density of states at the Fermi level: 3.5 states/eV per cell.

---

Entry 7:
First-principles (PBE-GGA) data for a relaxed structure of Pm5Os2Cl2, as listed in the Alexandria database.

Cell: 15.3340 8.0238 8.0087 Å, 90.00 90.00 90.00°
Closest atoms and distances in Å follow each position.
Space group Cmce (No. 64)
Symmetry-distinct sites (fractional):
Pm  0.0000  0.0000  0.0000 (multiplicity 4)  4 Os 3.09-3.10, 2 Cl 3.23
Pm  0.1152  0.1559  0.3490 (multiplicity 16)  3 Os 2.93-2.96, 1 Cl 3.19
Os  0.0000  0.1397  0.6407 (multiplicity 8)  8 Pm 2.93-3.10, 1 Os 3.18
Cl  0.2106  0.0000  0.0000 (multiplicity 8)  7 Pm 3.19-3.39

Its raw formation energy is -67 kJ/mol of atoms. As for the density of states at the Fermi level: 27.9 states/eV per cell.

---

Entry 8:
First-principles (PBE-GGA) data for a relaxed structure of Pm2OsCl, as listed in the Alexandria database.

Cell: 3.4084 3.4084 8.1146 Å, 90.00 90.00 90.00°
Closest atoms and distances in Å follow each position.
Space group P4/mmm (No. 123)
Symmetry-distinct sites (fractional):
Pm  0.0000  0.0000  0.2161 (multiplicity 2)  4 Os 2.98, 4 Cl 3.33
Os  0.5000  0.5000  0.0000 (multiplicity 1)  8 Pm 2.98
Cl  0.5000  0.5000  0.5000 (multiplicity 1)  8 Pm 3.33, 4 Cl 3.41

The energy above the most stable polymorph in this dataset comes out at 0.000 eV per atom. Its raw formation energy is -75 kJ/mol of atoms. As for the density of states at the Fermi level: 2.0 states/eV per cell.

---

Entry 9:
First-principles (PBE-GGA) data for a relaxed structure of Pm5OsCl5, as listed in the Alexandria database.

Cell: 12.3660 5.7214 8.7756 Å, 90.00 106.15 90.00°
Closest atoms and distances in Å follow each position.
Space group C2/m (No. 12)
Symmetry-distinct sites (fractional):
Pm  0.0000  0.0000  0.0000 (multiplicity 2)  2 Os 2.86, 2 Cl 3.02
Pm  0.1553  0.5000  0.2949 (multiplicity 4)  1 Os 2.76, 4 Cl 2.85-2.98
Pm  0.1611  0.5000  0.8420 (multiplicity 4)  1 Os 2.73, 2 Cl 2.97
Os  0.0000  0.5000  0.0000 (multiplicity 2)  6 Pm 2.73-2.86
Cl  0.0000  0.5000  0.5000 (multiplicity 2)  4 Pm 2.98-3.11
Cl  0.1249  0.0000  0.7495 (multiplicity 4)  4 Pm 2.85-3.02
Cl  0.1773  0.0000  0.3657 (multiplicity 4)  4 Pm 2.92-3.12

Its raw formation energy is -131 kJ/mol of atoms. As for the density of states at the Fermi level: 11.4 states/eV per cell.

---

Entry 10:
First-principles (PBE-GGA) data for a relaxed structure of Pm6Os2PtCl3, as listed in the Alexandria database.

Cell: 7.0945 12.3026 7.8878 Å, 90.00 107.33 90.00°
Closest atoms and distances in Å follow each position.
Space group C2/m (No. 12)
Symmetry-distinct sites (fractional):
Pm  0.2209  0.0000  0.2045 (multiplicity 4)  2 Os 2.79, 1 Pt 2.90
Pm  0.2414  0.3271  0.2061 (multiplicity 8)  2 Os 2.79, 1 Pt 2.91
Os  0.0000  0.1668  0.0000 (multiplicity 4)  6 Pm 2.79
Pt  0.0000  0.5000  0.0000 (multiplicity 2)  6 Pm 2.90-2.91
Cl  0.0000  0.0000  0.5000 (multiplicity 2)  6 Pm 3.17-3.28
Cl  0.0000  0.3270  0.5000 (multiplicity 4)  6 Pm 3.13-3.34

Its raw formation energy is -96 kJ/mol of atoms. As for the density of states at the Fermi level: 8.8 states/eV per cell.

---

Entry 11:
First-principles (PBE-GGA) data for a relaxed structure of Pm4OsRhCl2, as listed in the Alexandria database.

Cell: 7.0212 4.0460 7.9112 Å, 90.00 107.03 90.00°
Closest atoms and distances in Å follow each position.
Space group P2/m (No. 10)
Symmetry-distinct sites (fractional):
Pm  0.2316  0.0000  0.2078 (multiplicity 2)  2 Os 2.81, 1 Rh 2.84
Pm  0.2598  0.5000  0.7953 (multiplicity 2)  1 Os 2.77, 2 Rh 2.82
Os  0.0000  0.5000  0.0000 (multiplicity 1)  6 Pm 2.77-2.81
Rh  0.5000  0.0000  0.0000 (multiplicity 1)  6 Pm 2.82-2.84
Cl  0.0000  0.0000  0.5000 (multiplicity 1)  6 Pm 3.19-3.22
Cl  0.5000  0.5000  0.5000 (multiplicity 1)  6 Pm 3.23-3.26

Its raw formation energy is -94 kJ/mol of atoms. As for the density of states at the Fermi level: 4.4 states/eV per cell.